Compound: SrAcCuNi
Source: the Alexandria database
Functional: GGA-PBE
Structure: relaxed

Cell: 5.2503 5.2503 5.2503 Å, 60.00 60.00 60.00°
Closest atoms and distances in Å follow each position.
Sites, in units of the cell vectors:
Sr (0.0000, 0.0000, 0.0000)  4 Ni 3.22, 4 Cu 3.22
Ac (0.5000, 0.5000, 0.5000)  4 Cu 3.22, 4 Ni 3.22
Cu (0.2500, 0.2500, 0.2500)  4 Sr 3.22, 4 Ac 3.22
Ni (0.7500, 0.7500, 0.7500)  4 Ac 3.22, 4 Sr 3.22

Properties
* formation energy: -2 meV per atom